Entry 1:
MgPdSO after structural relaxation, computed with GGA-PBE.

Values from the calculation:
**Energy above the most stable polymorph in this dataset**: 0.158 eV per atom
**Final energy**: -0.18247 Ha/atom

abc: 6.0425 6.0425 6.2352
angles: 90.00 90.00 32.67
Closest atoms and distances in Å follow each position.
Element x y z (fractional)
O (0.0619, 0.0619, 0.4818)  2 Mg 1.92-1.94
O (0.9381, 0.9381, 0.9818)  2 Mg 1.92-1.94
Pd (0.3186, 0.3186, 0.0079)  2 O 2.20, 2 S 2.34
Pd (0.6814, 0.6814, 0.5079)  2 O 2.20, 2 S 2.34
S (0.3156, 0.3156, 0.4464)  2 Pd 2.34, 2 Mg 2.58
S (0.6844, 0.6844, 0.9464)  2 Pd 2.34, 2 Mg 2.58
Mg (0.9309, 0.9309, 0.6713)  2 O 1.92-1.94
Mg (0.0691, 0.0691, 0.1713)  2 O 1.92-1.94

---

Entry 2:
MgPdSeO after structural relaxation, computed with GGA-PBE.

Values from the calculation:
**Energy above the most stable polymorph in this dataset**: 0.223 eV per atom
**Final energy**: -0.17533 Ha/atom

abc: 6.2597 6.2597 6.1991
angles: 90.00 90.00 147.23
Closest atoms and distances in Å follow each position.
Element x y z (fractional)
O (0.4377, 0.5623, 0.5144)  2 Mg 1.91
O (0.5623, 0.4377, 0.0144)  2 Mg 1.91
Pd (0.1763, 0.8237, 0.9954)  2 O 2.24, 2 Se 2.47
Pd (0.8237, 0.1763, 0.4954)  2 O 2.24, 2 Se 2.47
Se (0.8167, 0.1833, 0.0596)  3 Pd 2.47-2.70, 2 Mg 2.72
Se (0.1833, 0.8167, 0.5596)  3 Pd 2.47-2.70, 2 Mg 2.72
Mg (0.4379, 0.5621, 0.8232)  2 O 1.91
Mg (0.5621, 0.4379, 0.3232)  2 O 1.91

---

Entry 3:
MgPdSeO after structural relaxation, computed with GGA-PBE.

Values from the calculation:
**Energy above the most stable polymorph in this dataset**: 0.892 eV per atom
**Final energy**: -0.15074 Ha/atom

abc: 4.1342 4.1342 7.7303
angles: 90.00 90.00 90.00
Closest atoms and distances in Å follow each position.
Element x y z (fractional)
Mg (0.2500, 0.7500, 0.0000)  4 Pd 2.69, 4 Mg 2.92, 4 Se 3.00
Mg (0.7500, 0.2500, 0.0000)  4 Pd 2.69, 4 Mg 2.92, 4 Se 3.00
Pd (0.7500, 0.7500, 0.2223)  1 O 2.14
Pd (0.2500, 0.2500, 0.7777)  1 O 2.14
O (0.2500, 0.2500, 0.5003)  1 Se 1.69
O (0.7500, 0.7500, 0.4997)  1 Se 1.69
Se (0.2500, 0.2500, 0.2811)  1 O 1.69
Se (0.7500, 0.7500, 0.7189)  1 O 1.69

---

Entry 4:
MgPdSeO after structural relaxation, computed with GGA-PBE.

Values from the calculation:
**Energy above the most stable polymorph in this dataset**: 0.271 eV per atom
**Final energy**: -0.17355 Ha/atom

abc: 6.5053 6.5053 5.9141
angles: 90.00 90.00 149.13
Closest atoms and distances in Å follow each position.
Element x y z (fractional)
Pd (0.5014, 0.4986, 0.2955)  2 O 2.07-2.08
Pd (0.4986, 0.5014, 0.7955)  2 O 2.07-2.08
O (0.3838, 0.6162, 0.5436)  2 Mg 1.96, 2 Pd 2.07-2.08
O (0.6162, 0.3838, 0.0436)  2 Mg 1.96, 2 Pd 2.07-2.08
Se (0.1289, 0.8711, 0.5426)  4 Pd 2.77-2.81, 3 Mg 2.86-2.89
Se (0.8711, 0.1289, 0.0426)  4 Pd 2.77-2.81, 3 Mg 2.86-2.89
Mg (0.1874, 0.8126, 0.0108)  2 O 1.96
Mg (0.8126, 0.1874, 0.5108)  2 O 1.96